1.
Entry from Alexandria: a relaxed In2AsSe6 crystal (GGA-PBE).

abc: 8.7934 8.7934 7.0387
angles: 109.59 109.59 83.14
Fractional positions:
In 0.1300 0.2984 0.4543
In 0.2984 0.1300 0.9543
In 0.7016 0.8700 0.0457
In 0.8700 0.7016 0.5457
As 0.4072 0.5928 0.7500
As 0.5928 0.4072 0.2500
Se 0.0065 0.8629 0.9896
Se 0.1371 0.9935 0.5104
Se 0.1608 0.6045 0.4513
Se 0.2380 0.4351 0.8920
Se 0.3955 0.8392 0.0487
Se 0.4351 0.2380 0.3920
Se 0.5649 0.7620 0.6080
Se 0.6045 0.1608 0.9513
Se 0.7620 0.5649 0.1080
Se 0.8392 0.3955 0.5487
Se 0.8629 0.0065 0.4896
Se 0.9935 0.1371 0.0104

energy: -0.1338 Ha/atom
ΔE_f (raw): -0.1916 eV per atom

2.
Entry from Alexandria: a relaxed Mg14NbFe crystal (GGA-PBE).

abc: 6.2638 6.2638 9.8843
angles: 90.00 90.00 120.00
Fractional positions:
Mg 0.0000 0.0000 0.2442
Mg 0.0000 0.0000 0.7558
Mg 0.0167 0.5084 0.2538
Mg 0.0167 0.5084 0.7462
Mg 0.3314 0.1657 0.5000
Mg 0.3398 0.1699 0.0000
Mg 0.4916 0.5084 0.2538
Mg 0.4916 0.5084 0.7462
Mg 0.4916 0.9833 0.2538
Mg 0.4916 0.9833 0.7462
Mg 0.8301 0.1699 0.0000
Mg 0.8301 0.6602 0.0000
Mg 0.8343 0.1657 0.5000
Mg 0.8343 0.6686 0.5000
Nb 0.3333 0.6667 0.0000
Fe 0.3333 0.6667 0.5000

ΔE_f: 0.1304 eV per atom
energy: -0.0890 Ha/atom

3.
Entry from Alexandria: a relaxed BaMgTl3 crystal (GGA-PBE).

abc: 6.4795 6.4795 6.4795
angles: 90.00 90.00 90.00
Fractional positions:
Ba 0.0000 0.0000 0.0000
Mg 0.5000 0.5000 0.5000
Tl 0.0000 0.0000 0.5000
Tl 0.0000 0.5000 0.0000
Tl 0.5000 0.0000 0.0000

ΔE_f: 0.7083 eV per atom
energy: -0.0520 Ha/atom

4.
Entry from Alexandria: a relaxed ScZn2Hg crystal (GGA-PBE).

abc: 3.2545 3.2545 7.0200
angles: 90.00 90.00 90.00
Fractional positions:
Sc 0.0000 0.0000 0.0000
Zn 0.0000 0.0000 0.4521
Zn 0.5000 0.5000 0.2541
Hg 0.5000 0.5000 0.7164

ΔE_f: -0.1739 eV per atom
energy: -0.0907 Ha/atom

5.
Entry from Alexandria: a relaxed TiOs2W2 crystal (GGA-PBE).

abc: 7.5793 7.5793 2.8632
angles: 90.00 90.00 90.00
Fractional positions:
Ti 0.0000 0.0000 0.0000
Ti 0.5000 0.5000 0.0000
Os 0.1451 0.3549 0.5000
Os 0.3549 0.8549 0.5000
Os 0.6451 0.1451 0.5000
Os 0.8549 0.6451 0.5000
W 0.1518 0.6518 0.0000
W 0.3482 0.1518 0.0000
W 0.6518 0.8482 0.0000
W 0.8482 0.3482 0.0000

ΔE_f: 0.1633 eV per atom
energy: -0.4075 Ha/atom

6.
Entry from Alexandria: a relaxed AlTeI2N crystal (GGA-PBE).

abc: 6.3156 6.3156 4.0250
angles: 90.00 90.00 90.00
Fractional positions:
Al 0.0000 0.0000 0.0000
Te 0.5000 0.5000 0.5000
I 0.0000 0.5000 0.5000
I 0.5000 0.0000 0.5000
N 0.5000 0.5000 0.0000

energy: -0.1106 Ha/atom
ΔE_f (raw): 0.6532 eV per atom

7.
Entry from Alexandria: a relaxed K3TlBi3 crystal (GGA-PBE).

abc: 6.9714 6.9714 16.8342
angles: 107.07 107.07 47.57
Fractional positions:
K 0.0265 0.0265 0.3753
K 0.0963 0.0963 0.9192
K 0.2345 0.2345 0.2182
K 0.7655 0.7655 0.7818
K 0.9037 0.9037 0.0808
K 0.9735 0.9735 0.6247
Tl 0.2640 0.2640 0.5909
Tl 0.7360 0.7360 0.4091
Bi 0.3779 0.3779 0.4407
Bi 0.3919 0.3919 0.9280
Bi 0.4670 0.4670 0.7731
Bi 0.5330 0.5330 0.2269
Bi 0.6081 0.6081 0.0720
Bi 0.6221 0.6221 0.5593

ΔE_f: -0.3041 eV per atom
energy: -0.1020 Ha/atom

8.
Entry from Alexandria: a relaxed NaCaY2Hg4 crystal (GGA-PBE).

abc: 9.1004 9.1004 9.1004
angles: 33.48 33.48 33.48
Fractional positions:
Na 0.0000 0.0000 0.0000
Ca 0.5000 0.5000 0.5000
Y 0.2523 0.2523 0.2523
Y 0.7477 0.7477 0.7477
Hg 0.1246 0.1246 0.1246
Hg 0.3748 0.3748 0.3748
Hg 0.6252 0.6252 0.6252
Hg 0.8754 0.8754 0.8754

ΔE_f: -0.4378 eV per atom
energy: -0.0963 Ha/atom

9.
Entry from Alexandria: a relaxed Al2GeH crystal (GGA-PBE).

abc: 6.1485 6.1485 6.1485
angles: 90.00 90.00 90.00
Fractional positions:
Al 0.2500 0.2500 0.2500
Al 0.2500 0.2500 0.7500
Al 0.2500 0.7500 0.2500
Al 0.2500 0.7500 0.7500
Al 0.7500 0.2500 0.2500
Al 0.7500 0.2500 0.7500
Al 0.7500 0.7500 0.2500
Al 0.7500 0.7500 0.7500
Ge 0.0000 0.0000 0.0000
Ge 0.0000 0.5000 0.5000
Ge 0.5000 0.0000 0.5000
Ge 0.5000 0.5000 0.0000
H 0.0000 0.0000 0.5000
H 0.0000 0.5000 0.0000
H 0.5000 0.0000 0.0000
H 0.5000 0.5000 0.5000

energy: -0.1299 Ha/atom